[1]
# KLa2Fe

An optimized crystal structure of KLa2Fe (PBE, the Alexandria database).

Cell: 6.651 6.651 6.651 Å, 147.20 118.17 71.78°
Sites, in units of the cell vectors:
K 0.000 0.000 0.000
La 0.337 0.837 0.500
La 0.663 0.163 0.500
Fe 0.500 0.500 0.000

Results
Magnetization: 0.0 μB/f.u.
Offset from the most stable computed form: 244.9 meV/atom
SG: Immm, No. 71

=====

[2]
# ScNiPb3

An optimized crystal structure of ScNiPb3 (PBE, the Alexandria database).

Cell: 5.561 5.561 5.561 Å, 90.00 90.00 90.00°
Sites, in units of the cell vectors:
Sc 0.000 0.000 0.000
Ni 0.500 0.500 0.500
Pb 0.000 0.000 0.500
Pb 0.000 0.500 0.000
Pb 0.500 0.000 0.000

Results
Magnetization: 0.0 μB/f.u.
Offset from the most stable computed form: 672.7 meV/atom
SG: Pm-3m, No. 221

=====

[3]
# Pm2Al4Ni3Rh

An optimized crystal structure of Pm2Al4Ni3Rh (PBE, the Alexandria database).

Cell: 4.168 4.168 10.013 Å, 90.00 90.00 90.00°
Sites, in units of the cell vectors:
Pm 0.000 0.500 0.250
Pm 0.500 0.000 0.750
Al 0.000 0.000 0.000
Al 0.000 0.500 0.628
Al 0.500 0.000 0.372
Al 0.500 0.500 0.000
Ni 0.000 0.500 0.869
Ni 0.500 0.000 0.131
Ni 0.500 0.500 0.500
Rh 0.000 0.000 0.500

Results
Magnetization: 0.0 μB/f.u.
DFT total energy: -5.562 eV/atom
SG: P-4m2, No. 115

=====

[4]
# AcTbTm4S8

An optimized crystal structure of AcTbTm4S8 (PBE, the Alexandria database).

Cell: 8.115 8.115 8.115 Å, 59.69 59.69 59.69°
Sites, in units of the cell vectors:
Ac 0.000 0.000 0.000
Tb 0.623 0.623 0.623
Tm 0.133 0.624 0.624
Tm 0.251 0.251 0.251
Tm 0.624 0.133 0.624
Tm 0.624 0.624 0.133
S 0.378 0.378 0.859
S 0.378 0.859 0.378
S 0.383 0.383 0.383
S 0.423 0.863 0.863
S 0.859 0.378 0.378
S 0.859 0.859 0.859
S 0.863 0.423 0.863
S 0.863 0.863 0.423

Results
Uncorrected formation energy: -1911 meV per atom
Magnetization: 0.0 μB/f.u.
SG: R3m, No. 160

=====

[5]
# CuNi2

An optimized crystal structure of CuNi2 (PBE, the Alexandria database).

Cell: 4.476 4.476 4.476 Å, 141.96 141.96 54.89°
Sites, in units of the cell vectors:
Cu 0.000 0.000 0.000
Ni 0.330 0.330 0.000
Ni 0.670 0.670 0.000

Results
Magnetization: 0.9 μB/f.u.
DFT total energy: -5.125 eV/atom
SG: I4/mmm, No. 139

=====

[6]
# Pr2HoPaN4

An optimized crystal structure of Pr2HoPaN4 (PBE, the Alexandria database).

Cell: 6.113 3.577 6.254 Å, 90.00 108.96 90.00°
Sites, in units of the cell vectors:
Pr 0.000 0.000 0.000
Pr 0.500 0.500 0.000
Ho 0.000 0.500 0.500
Pa 0.500 0.000 0.500
N 0.254 0.000 0.719
N 0.270 0.500 0.285
N 0.730 0.500 0.715
N 0.746 0.000 0.281

Results
Uncorrected formation energy: -1558 meV per atom
Magnetization: 0.0 μB/f.u.
SG: P2/m, No. 10

=====

[7]
# TbPmI6

An optimized crystal structure of TbPmI6 (PBE, the Alexandria database).

Cell: 8.268 8.268 8.268 Å, 55.58 55.58 55.58°
Sites, in units of the cell vectors:
Tb 0.000 0.000 0.000
Pm 0.500 0.500 0.500
I 0.086 0.754 0.408
I 0.246 0.592 0.914
I 0.408 0.086 0.754
I 0.592 0.914 0.246
I 0.754 0.408 0.086
I 0.914 0.246 0.592

Results
Uncorrected formation energy: -1342 meV per atom
Magnetization: 0.0 μB/f.u.
Offset from the most stable computed form: 38.2 meV/atom
SG: R-3, No. 148

=====

[8]
# Li7TlHg4

An optimized crystal structure of Li7TlHg4 (PBE, the Alexandria database).

Cell: 7.094 7.094 8.377 Å, 119.10 119.10 42.31°
Sites, in units of the cell vectors:
Li 0.000 0.000 0.000
Li 0.253 0.253 0.711
Li 0.299 0.299 0.118
Li 0.430 0.430 0.592
Li 0.570 0.570 0.408
Li 0.701 0.701 0.882
Li 0.747 0.747 0.289
Tl 0.500 0.500 0.000
Hg 0.060 0.060 0.724
Hg 0.192 0.192 0.344
Hg 0.808 0.808 0.656
Hg 0.940 0.940 0.276

Results
Magnetization: 0.0 μB/f.u.
DFT total energy: -1.643 eV/atom
SG: C2/m, No. 12